Record 1
A relaxed TaW crystal, computed with GGA-PBE.

Its total energy is -12.14 eV per atom. The formation energy is 0.27 eV per atom. The density of states at the Fermi level is 1.073 states/eV/atom.

Cell lengths 2.724, 2.724, 9.404 Å; angles 90.00, 90.00, 90.00 degrees
Space group P4/nmm (No. 129, origin choice 2)
One atom of each set of equivalent atoms:
Ta: 0.250 0.250 0.129 [2 per cell]
W: 0.250 0.250 0.622 [2 per cell]

=====

Record 2
A relaxed Dy3Er5Sc3 crystal, computed with GGA-PBE.

Its total energy is -4.69 eV per atom. The formation energy is 0.37 eV per atom. The density of states at the Fermi level is 1.787 states/eV/atom.

Cell lengths 10.7510, 10.7510, 3.3617 Å; angles 90.00, 90.00, 120.00 degrees
Space group P-62m (No. 189)
One atom of each set of equivalent atoms:
Dy: 0.0000 0.3454 0.0000 [3 per cell]
Er: 0.0000 0.8347 0.0000 [3 per cell]
Er: 0.3333 0.6667 0.0000 [2 per cell]
Sc: 0.0000 0.5918 0.5000 [3 per cell]

=====

Record 3
A relaxed Co2HgSe crystal, computed with GGA-PBE.

Its total energy is -4.30 eV per atom. As for the uncorrected formation energy: 0.20 eV/atom. The density of states at the Fermi level is 1.256 states/eV/atom. The value obtained for the energy above the most stable polymorph in this dataset is 0.000 eV/atom.

Cell lengths 3.100, 3.100, 7.158 Å; angles 90.00, 90.00, 90.00 degrees
Space group P4mm (No. 99)
One atom of each set of equivalent atoms:
Co: 0.000 0.000 0.000 [1 per cell]
Co: 0.500 0.500 0.188 [1 per cell]
Hg: 0.000 0.000 0.418 [1 per cell]
Se: 0.500 0.500 0.860 [1 per cell]

=====

Record 4
A relaxed DyHo5Zn4 crystal, computed with GGA-PBE.

Its total energy is -3.53 eV per atom. The formation energy is -0.27 eV per atom. The density of states at the Fermi level is 1.151 states/eV/atom.

Cell lengths 3.548, 3.548, 19.264 Å; angles 90.00, 90.00, 90.00 degrees
Space group P4/mmm (No. 123)
One atom of each set of equivalent atoms:
Dy: 0.000 0.000 0.000 [1 per cell]
Ho: 0.500 0.500 0.132 [2 per cell]
Ho: 0.500 0.500 0.316 [2 per cell]
Ho: 0.500 0.500 0.500 [1 per cell]
Zn: 0.000 0.000 0.224 [2 per cell]
Zn: 0.000 0.000 0.407 [2 per cell]

=====

Number 1: calculated density 17.36 Mg/m³. Number 2: calculated density 7.20 Mg/m³. Number 3: calculated density 9.59 Mg/m³. Number 4: calculated density 8.55 Mg/m³.